Entry 1:
Here is an optimized crystal structure of K3Tl3Pb8 from Alexandria via LeMat-Bulk. Energies are from PBE.

Lattice parameters (Å, degrees): 5.211 10.081 10.081 77.53 75.02 75.02
Sites, in units of the cell vectors:
K1 0.500 0.500 0.500
K2 0.793 0.207 0.207
K3 0.207 0.793 0.793
Tl1 0.500 0.000 0.000
Tl2 0.000 0.834 0.166
Tl3 0.000 0.166 0.834
Pb1 0.657 0.063 0.624
Pb2 0.343 0.937 0.376
Pb3 0.657 0.624 0.063
Pb4 0.343 0.376 0.937
Pb5 0.865 0.767 0.502
Pb6 0.135 0.233 0.498
Pb7 0.865 0.502 0.767
Pb8 0.135 0.498 0.233

Summary:
The value obtained for the formation enthalpy at 0 K is -99 meV per atom.

***

Entry 2:
Here is an optimized crystal structure of Sr4CaCl10 from Alexandria via LeMat-Bulk. Energies are from PBE.

Lattice parameters (Å, degrees): 6.988 8.560 8.560 80.41 65.91 65.91
Sites, in units of the cell vectors:
Sr1 0.399 0.802 0.399
Sr2 0.799 0.601 0.802
Sr3 0.201 0.399 0.198
Sr4 0.601 0.198 0.601
Ca1 0.000 0.000 0.000
Cl1 0.250 0.500 0.500
Cl2 0.657 0.294 0.903
Cl3 0.049 0.097 0.294
Cl4 0.441 0.903 0.706
Cl5 0.854 0.706 0.097
Cl6 0.343 0.706 0.097
Cl7 0.750 0.500 0.500
Cl8 0.146 0.294 0.903
Cl9 0.559 0.097 0.294
Cl10 0.951 0.903 0.706

Summary:
The value obtained for the uncorrected formation energy is -3554.6 kJ/mol of formula units.

***

Entry 3:
Here is an optimized crystal structure of Ho2Er3Ni4 from Alexandria via LeMat-Bulk. Energies are from PBE.

Lattice parameters (Å, degrees): 7.462 7.294 7.203 90.00 90.00 106.82
Sites, in units of the cell vectors:
Ho1 0.595 0.201 0.321
Ho2 0.905 0.799 0.821
Ho3 0.405 0.799 0.679
Ho4 0.095 0.201 0.179
Er1 0.000 0.500 0.500
Er2 0.500 0.500 0.000
Er3 0.751 0.236 0.829
Er4 0.749 0.764 0.329
Er5 0.249 0.764 0.171
Er6 0.251 0.236 0.671
Ni1 0.881 0.090 0.528
Ni2 0.619 0.910 0.028
Ni3 0.119 0.910 0.472
Ni4 0.381 0.090 0.972
Ni5 0.883 0.499 0.119
Ni6 0.617 0.501 0.619
Ni7 0.117 0.501 0.881
Ni8 0.383 0.499 0.381

Summary:
The value obtained for the formation enthalpy at 0 K is -407 meV per atom.

***

Let's list total energy in order: -0.109 -0.157 -0.203 Ha/atom.
Let's list D(E_F) in order: 6.443 0.000 12.055 states/eV per cell.